No. 1
# GGA-PBE NaLiCo2Br, relaxed
# Uncorrected formation energy: 557 kJ/mol of formula units
# Spin magnetization: 0.814 μB/atom
# D(E_F): 1.228 states/eV/atom
# Crystal system: tetragonal
data_NaLiCo2Br
_symmetry_space_group_name_H-M 'P 4/m m m'
_symmetry_Int_Tables_number 123
_symmetry_space_group_name_Hall '-P 4 2'
_cell_length_a 4.866
_cell_length_b 4.866
_cell_length_c 5.566
_cell_angle_alpha 90.00
_cell_angle_beta 90.00
_cell_angle_gamma 90.00
loop_
_atom_site_label
_atom_site_type_symbol
_atom_site_fract_x
_atom_site_fract_y
_atom_site_fract_z
_atom_site_occupancy
Na1 Na 0.000 0.000 0.000 1
Li1 Li 0.500 0.500 0.500 1
Co1 Co 0.000 0.500 0.000 1
Br1 Br 0.000 0.000 0.500 1



No. 2
# GGA-PBE BeSnRu2Cl, relaxed
# Uncorrected formation energy: 351 kJ/mol of formula units
# Spin magnetization: 0.449 μB/atom
# D(E_F): 1.026 states/eV/atom
# Crystal system: tetragonal
data_BeSnRu2Cl
_symmetry_space_group_name_H-M 'P 4/m m m'
_symmetry_Int_Tables_number 123
_symmetry_space_group_name_Hall '-P 4 2'
_cell_length_a 4.501
_cell_length_b 4.501
_cell_length_c 3.995
_cell_angle_alpha 90.00
_cell_angle_beta 90.00
_cell_angle_gamma 90.00
loop_
_atom_site_label
_atom_site_type_symbol
_atom_site_fract_x
_atom_site_fract_y
_atom_site_fract_z
_atom_site_occupancy
Be1 Be 0.000 0.000 0.000 1
Sn1 Sn 0.500 0.500 0.500 1
Ru1 Ru 0.000 0.500 0.000 1
Cl1 Cl 0.000 0.000 0.500 1



No. 3
# GGA-PBE SrCaGe4, relaxed
# Distance to the lowest polymorph of the same formula: 52.0 meV per atom
# ΔH_f (0 K): -0.3727 eV per atom
# Spin magnetization: 0.000 μB/atom
# D(E_F): 0.349 states/eV/atom
# Crystal system: orthorhombic
data_SrCaGe4
_symmetry_space_group_name_H-M 'P b a m'
_symmetry_Int_Tables_number 55
_cell_length_a 8.747
_cell_length_b 15.742
_cell_length_c 4.550
_cell_angle_alpha 90.00
_cell_angle_beta 90.00
_cell_angle_gamma 90.00
loop_
_symmetry_equiv_pos_as_xyz
'x,y,z'
'-x,-y,-z'
'-x,-y,z'
'x,y,-z'
'x+1/2,-y+1/2,-z'
'-x+1/2,y+1/2,z'
'-x+1/2,y+1/2,-z'
'x+1/2,-y+1/2,z'
loop_
_atom_site_label
_atom_site_type_symbol
_atom_site_fract_x
_atom_site_fract_y
_atom_site_fract_z
_atom_site_occupancy
Sr1 Sr 0.141 0.142 0.000 1
Ca1 Ca 0.147 0.415 0.000 1
Ge1 Ge 0.056 0.297 0.500 1
Ge2 Ge 0.103 0.560 0.500 1
Ge3 Ge 0.131 0.969 0.500 1
Ge4 Ge 0.155 0.810 0.500 1



No. 4
# GGA-PBE BaNdTl2F8, relaxed
# Uncorrected formation energy: -3505 kJ/mol of formula units
# Spin magnetization: 0.061 μB/atom
# D(E_F): 0.346 states/eV/atom
# Crystal system: tetragonal
data_BaNdTl2F8
_symmetry_space_group_name_H-M 'I -4 m 2'
_symmetry_Int_Tables_number 119
_symmetry_space_group_name_Hall 'I -4 -2'
_cell_length_a 6.154
_cell_length_b 6.154
_cell_length_c 11.729
_cell_angle_alpha 90.00
_cell_angle_beta 90.00
_cell_angle_gamma 90.00
loop_
_atom_site_label
_atom_site_type_symbol
_atom_site_fract_x
_atom_site_fract_y
_atom_site_fract_z
_atom_site_occupancy
Ba1 Ba 0.000 0.000 0.000 1
Nd1 Nd 0.000 0.500 0.250 1
Tl1 Tl 0.000 0.000 0.500 1
Tl2 Tl 0.000 0.500 0.750 1
F1 F 0.218 0.271 0.372 1



No. 5
# GGA-PBE KRbSr2Au, relaxed
# Distance to the lowest polymorph of the same formula: 2.8 meV per atom
# ΔH_f (0 K): -0.2056 eV per atom
# Spin magnetization: 0.000 μB/atom
# D(E_F): 0.802 states/eV/atom
# Crystal system: tetragonal
data_KRbSr2Au
_symmetry_space_group_name_H-M 'P 4/m m m'
_symmetry_Int_Tables_number 123
_symmetry_space_group_name_Hall '-P 4 2'
_cell_length_a 6.244
_cell_length_b 6.244
_cell_length_c 6.971
_cell_angle_alpha 90.00
_cell_angle_beta 90.00
_cell_angle_gamma 90.00
loop_
_atom_site_label
_atom_site_type_symbol
_atom_site_fract_x
_atom_site_fract_y
_atom_site_fract_z
_atom_site_occupancy
K1 K 0.000 0.000 0.000 1
Rb1 Rb 0.500 0.500 0.000 1
Sr1 Sr 0.000 0.500 0.500 1
Au1 Au 0.500 0.500 0.500 1



No. 6
# GGA-PBE Ta3TlAs, relaxed
# Distance to the lowest polymorph of the same formula: 1470.0 meV per atom
# ΔH_f (0 K): 2.4300 eV per atom
# Spin magnetization: 0.000 μB/atom
# D(E_F): 1.694 states/eV/atom
# Crystal system: cubic
data_Ta3TlAs
_symmetry_space_group_name_H-M 'P m -3 m'
_symmetry_Int_Tables_number 221
_symmetry_space_group_name_Hall '-P 4 2 3'
_cell_length_a 5.078
_cell_length_b 5.078
_cell_length_c 5.078
_cell_angle_alpha 90.00
_cell_angle_beta 90.00
_cell_angle_gamma 90.00
loop_
_atom_site_label
_atom_site_type_symbol
_atom_site_fract_x
_atom_site_fract_y
_atom_site_fract_z
_atom_site_occupancy
Ta1 Ta 0.000 0.000 0.500 1
Tl1 Tl 0.000 0.000 0.000 1
As1 As 0.500 0.500 0.500 1



No. 7
# GGA-PBE FeHg4W, relaxed
# ΔH_f (0 K): 1.2184 eV per atom
# Spin magnetization: 0.448 μB/atom
# D(E_F): 0.760 states/eV/atom
# Crystal system: cubic
data_FeHg4W
_symmetry_space_group_name_H-M 'F -4 3 m'
_symmetry_Int_Tables_number 216
_symmetry_space_group_name_Hall 'F -4 2 3'
_cell_length_a 7.895
_cell_length_b 7.895
_cell_length_c 7.895
_cell_angle_alpha 90.00
_cell_angle_beta 90.00
_cell_angle_gamma 90.00
loop_
_atom_site_label
_atom_site_type_symbol
_atom_site_fract_x
_atom_site_fract_y
_atom_site_fract_z
_atom_site_occupancy
Fe1 Fe 0.000 0.000 0.000 1
Hg1 Hg 0.125 0.125 0.625 1
W1 W 0.250 0.250 0.250 1



No. 8
# GGA-PBE LiHfI3, relaxed
# Uncorrected formation energy: -149 kJ/mol of formula units
# Spin magnetization: 0.000 μB/atom
# D(E_F): 0.832 states/eV/atom
# Crystal system: cubic
data_LiHfI3
_symmetry_space_group_name_H-M 'P m -3 m'
_symmetry_Int_Tables_number 221
_symmetry_space_group_name_Hall '-P 4 2 3'
_cell_length_a 5.724
_cell_length_b 5.724
_cell_length_c 5.724
_cell_angle_alpha 90.00
_cell_angle_beta 90.00
_cell_angle_gamma 90.00
loop_
_atom_site_label
_atom_site_type_symbol
_atom_site_fract_x
_atom_site_fract_y
_atom_site_fract_z
_atom_site_occupancy
Li1 Li 0.000 0.000 0.000 1
Hf1 Hf 0.500 0.500 0.500 1
I1 I 0.000 0.500 0.500 1



No. 9
# GGA-PBE Na12Tl6Cu, relaxed
# ΔH_f (0 K): -0.0478 eV per atom
# Spin magnetization: 0.000 μB/atom
# D(E_F): 0.419 states/eV/atom
# Crystal system: trigonal
data_Na12Tl6Cu
_symmetry_space_group_name_H-M 'R -3 m'
_symmetry_Int_Tables_number 166
_symmetry_space_group_name_Hall '-R 3 2"'
_cell_length_a 10.6385
_cell_length_b 10.6385
_cell_length_c 17.6280
_cell_angle_alpha 90.00
_cell_angle_beta 90.00
_cell_angle_gamma 120.00
loop_
_atom_site_label
_atom_site_type_symbol
_atom_site_fract_x
_atom_site_fract_y
_atom_site_fract_z
_atom_site_occupancy
Na1 Na 0.0918 0.5459 0.4157 1
Na2 Na 0.1065 0.5532 0.0862 1
Tl1 Tl 0.0975 0.5487 0.7586 1
Cu1 Cu 0.0000 0.0000 0.0000 1



No. 10
# GGA-PBE Ta2TlPt, relaxed
# Distance to the lowest polymorph of the same formula: 71.3 meV per atom
# ΔH_f (0 K): 0.0843 eV per atom
# Spin magnetization: 0.000 μB/atom
# D(E_F): 0.804 states/eV/atom
# Crystal system: orthorhombic
data_Ta2TlPt
_symmetry_space_group_name_H-M 'A m m 2'
_symmetry_Int_Tables_number 38
_cell_length_a 4.198
_cell_length_b 2.969
_cell_length_c 12.215
_cell_angle_alpha 90.00
_cell_angle_beta 90.00
_cell_angle_gamma 90.00
loop_
_symmetry_equiv_pos_as_xyz
'x,y,z'
'-x,-y,z'
'-x,y,z'
'x,-y,z'
'x,y+1/2,z+1/2'
'-x,-y+1/2,z+1/2'
'-x,y+1/2,z+1/2'
'x,-y+1/2,z+1/2'
loop_
_atom_site_label
_atom_site_type_symbol
_atom_site_fract_x
_atom_site_fract_y
_atom_site_fract_z
_atom_site_occupancy
Ta1 Ta 0.000 0.000 0.000 1
Ta2 Ta 0.500 0.000 0.371 1
Tl1 Tl 0.500 0.000 0.624 1
Pt1 Pt 0.000 0.000 0.775 1



No. 11
# GGA-PBE Nb3InH, relaxed
# VASP energy: -7.001 eV/atom
# Spin magnetization: 0.000 μB/atom
# D(E_F): 0.832 states/eV/atom
# Crystal system: trigonal
data_Nb3InH
_symmetry_space_group_name_H-M 'R -3'
_symmetry_Int_Tables_number 148
_symmetry_space_group_name_Hall '-R 3'
_cell_length_a 5.6854
_cell_length_b 5.6854
_cell_length_c 19.5160
_cell_angle_alpha 90.00
_cell_angle_beta 90.00
_cell_angle_gamma 120.00
loop_
_atom_site_label
_atom_site_type_symbol
_atom_site_fract_x
_atom_site_fract_y
_atom_site_fract_z
_atom_site_occupancy
Nb1 Nb 0.0025 0.6595 0.2842 1
In1 In 0.0000 0.0000 0.1675 1
H1 H 0.0000 0.0000 0.3339 1



No. 12
# GGA-PBE In2GaP, relaxed
# Distance to the lowest polymorph of the same formula: 113.4 meV per atom
# ΔH_f (0 K): 0.2290 eV per atom
# Spin magnetization: 0.000 μB/atom
# D(E_F): 0.630 states/eV/atom
# Crystal system: cubic
data_In2GaP
_symmetry_space_group_name_H-M 'F m -3 m'
_symmetry_Int_Tables_number 225
_symmetry_space_group_name_Hall '-F 4 2 3'
_cell_length_a 7.087
_cell_length_b 7.087
_cell_length_c 7.087
_cell_angle_alpha 90.00
_cell_angle_beta 90.00
_cell_angle_gamma 90.00
loop_
_atom_site_label
_atom_site_type_symbol
_atom_site_fract_x
_atom_site_fract_y
_atom_site_fract_z
_atom_site_occupancy
In1 In 0.250 0.250 0.250 1
Ga1 Ga 0.000 0.000 0.000 1
P1 P 0.000 0.000 0.500 1



D(E_F) of number 8 (LiHfI3)?
0.832 states/eV/atom



What is the spin magnetization in the first record?
0.814 μB/atom



The lowest D(E_F) belongs to which entry?
BaNdTl2F8